Compound: ZnRe2Te
Source: Alexandria via LeMat-Bulk
Functional: meta-GGA SCAN
Structure: single point on PBEsol structure

The structure in POSCAR format:
```
ZnRe2Te
1.0
-2.464 2.671 1.798
-2.255 0.186 -3.364
0.161 -4.340 2.096
Zn Re Te
1 2 1
Direct
0.250 0.750 0.500
0.750 0.250 0.500
0.000 0.000 0.000
0.500 0.500 0.000
```

Computed properties:
Total magnetization   0.000 μB/atom
Energy relative to the elements, uncorrected   0.782 eV per atom
SG   I-4m2 (119)
Excess energy over the best structure of this formula in the dataset   440 meV/atom